Compound: CdMo2Se
Source: Alexandria
Functional: SCAN
Structure: PBEsol geometry

Cell lengths 4.990, 4.990, 4.990 Å; angles 132.59, 132.59, 69.29 degrees
Atoms (fractional coordinates):
Cd 0.000 0.000 0.000
Mo 0.500 0.500 0.000
Mo 0.750 0.250 0.500
Se 0.250 0.750 0.500

- Energy relative to the elements, uncorrected: 69 kJ/mol of atoms
- Uncorrected energy: -29.3489 eV/atom
- Calculated density: 9.6 g cm⁻³
- N(E_F): 3.61 states/eV per cell
- V: 16.52 Å³ per atom